1.
A plane-wave DFT calculation with GGA-PBEsol was carried out for a relaxed NaScZn3 crystal.

Summary:
Calculated total energy   -1.8478 eV per atom
DOS(E_F)   3.73 states/eV per cell
Formation energy from the elements   0.702 eV/atom
Space group   Pm-3m (221)

Structure (POSCAR):
```
NaScZn3
1.0
4.671 0.000 0.000
0.000 4.671 0.000
0.000 0.000 4.671
Na Zn Sc
1 3 1
Cartesian
0.000 0.000 0.000
0.000 0.000 2.335
0.000 2.335 0.000
2.335 0.000 0.000
2.335 2.335 2.335
```


2.
A plane-wave DFT calculation with GGA-PBEsol was carried out for a relaxed Na3ScZn crystal.

Summary:
Calculated total energy   -1.8436 eV per atom
DOS(E_F)   5.31 states/eV per cell
Formation energy from the elements   0.634 eV/atom
Space group   Pm-3m (221)

Structure (POSCAR):
```
Na3ScZn
1.0
5.384 0.000 0.000
0.000 5.384 0.000
0.000 0.000 5.384
Na Zn Sc
3 1 1
Cartesian
0.000 0.000 2.692
2.692 0.000 0.000
0.000 2.692 0.000
0.000 0.000 0.000
2.692 2.692 2.692
```


3.
A plane-wave DFT calculation with GGA-PBEsol was carried out for a relaxed NaSc2Zn crystal.

Summary:
Calculated total energy   -3.9045 eV per atom
DOS(E_F)   4.49 states/eV per cell
Formation energy from the elements   0.143 eV/atom
Space group   R-3m (166)

Structure (POSCAR):
```
NaSc2Zn
1.0
3.208 0.000 0.000
1.604 2.778 0.000
1.604 0.926 10.751
Sc Zn Na
2 1 1
Cartesian
4.812 2.778 3.271
1.604 0.926 7.480
3.208 1.852 5.376
0.000 0.000 0.000
```


> formation energy from the elements of number 2 (Na3ScZn)?

0.634 eV/atom